(1)
Computed, not measured: a relaxed structure of Si2BiPb at the GGA-PBEsol level of DFT.

Values from the calculation:
Raw total energy = -4.38 eV/atom
M_tot = 0.00 μB per atom
ΔE_f (raw) = 0.560 eV per atom

CIF file:
```
data_Si2BiPb
_chemical_formula_sum 'Si8 Bi4 Pb4'
_symmetry_space_group_name_H-M 'I -4 2 d'
_symmetry_Int_Tables_number 122
_symmetry_space_group_name_Hall 'I -4 2bw'
_cell_length_a 6.273
_cell_length_b 6.273
_cell_length_c 12.758
_cell_angle_alpha 90.00
_cell_angle_beta 90.00
_cell_angle_gamma 90.00
loop_
_atom_site_label
_atom_site_fract_x
_atom_site_fract_y
_atom_site_fract_z
Si1 0.241 0.250 0.125
Bi1 0.000 0.000 0.500
Pb1 0.000 0.000 0.000
```

(2)
Computed, not measured: a relaxed structure of SiBi2Pb at the GGA-PBEsol level of DFT.

Values from the calculation:
Raw total energy = -4.24 eV/atom
M_tot = 0.00 μB per atom
ΔE_f (raw) = 0.342 eV per atom

CIF file:
```
data_SiBi2Pb
_chemical_formula_sum 'Si4 Bi8 Pb4'
_symmetry_space_group_name_H-M 'F m -3 m'
_symmetry_Int_Tables_number 225
_symmetry_space_group_name_Hall '-F 4 2 3'
_cell_length_a 7.500
_cell_length_b 7.500
_cell_length_c 7.500
_cell_angle_alpha 90.00
_cell_angle_beta 90.00
_cell_angle_gamma 90.00
loop_
_atom_site_label
_atom_site_fract_x
_atom_site_fract_y
_atom_site_fract_z
Si1 0.000 0.000 0.000
Bi1 0.250 0.250 0.250
Pb1 0.000 0.000 0.500
```

(3)
Computed, not measured: a relaxed structure of SrBi2Pb at the GGA-PBEsol level of DFT.

Values from the calculation:
Raw total energy = -3.90 eV/atom
M_tot = 0.00 μB per atom
ΔE_f = -0.299 eV/atom

CIF file:
```
data_SrBi2Pb
_chemical_formula_sum 'Sr4 Bi8 Pb4'
_symmetry_space_group_name_H-M 'I -4 2 d'
_symmetry_Int_Tables_number 122
_symmetry_space_group_name_Hall 'I -4 2bw'
_cell_length_a 9.027
_cell_length_b 9.027
_cell_length_c 6.682
_cell_angle_alpha 90.00
_cell_angle_beta 90.00
_cell_angle_gamma 90.00
loop_
_atom_site_label
_atom_site_fract_x
_atom_site_fract_y
_atom_site_fract_z
Sr1 0.000 0.000 0.000
Bi1 0.231 0.750 0.625
Pb1 0.000 0.000 0.500
```

(4)
Computed, not measured: a relaxed structure of TaBi3Pb at the GGA-PBEsol level of DFT.

Values from the calculation:
Raw total energy = -5.34 eV/atom
M_tot = 0.00 μB per atom
ΔE_f = 0.546 eV/atom

CIF file:
```
data_TaBi3Pb
_chemical_formula_sum 'Ta1 Bi3 Pb1'
_symmetry_space_group_name_H-M 'P m -3 m'
_symmetry_Int_Tables_number 221
_symmetry_space_group_name_Hall '-P 4 2 3'
_cell_length_a 5.464
_cell_length_b 5.464
_cell_length_c 5.464
_cell_angle_alpha 90.00
_cell_angle_beta 90.00
_cell_angle_gamma 90.00
loop_
_atom_site_label
_atom_site_fract_x
_atom_site_fract_y
_atom_site_fract_z
Ta1 0.000 0.000 0.000
Bi1 0.000 0.000 0.500
Pb1 0.500 0.500 0.500
```

(5)
Computed, not measured: a relaxed structure of Bi2Te5Pb2 at the GGA-PBEsol level of DFT.

Values from the calculation:
Raw total energy = -4.03 eV/atom
M_tot = 0.00 μB per atom
ΔE_f (raw) = -0.227 eV per atom

CIF file:
```
data_Bi2Te5Pb2
_chemical_formula_sum 'Bi2 Te5 Pb2'
_symmetry_space_group_name_H-M 'P -3 m 1'
_symmetry_Int_Tables_number 164
_symmetry_space_group_name_Hall '-P 3 2"'
_cell_length_a 4.4361
_cell_length_b 4.4361
_cell_length_c 17.8590
_cell_angle_alpha 90.00
_cell_angle_beta 90.00
_cell_angle_gamma 120.00
loop_
_atom_site_label
_atom_site_fract_x
_atom_site_fract_y
_atom_site_fract_z
Bi1 0.3333 0.6667 0.1103
Te1 0.0000 0.0000 0.0000
Te2 0.3333 0.6667 0.4287
Te3 0.3333 0.6667 0.7945
Pb1 0.0000 0.0000 0.3389
```

(6)
Computed, not measured: a relaxed structure of Bi3Te5Pb at the GGA-PBEsol level of DFT.

Values from the calculation:
Raw total energy = -4.02 eV/atom
M_tot = 0.00 μB per atom
ΔE_f (raw) = -0.188 eV per atom

CIF file:
```
data_Bi3Te5Pb
_chemical_formula_sum 'Bi3 Te5 Pb1'
_symmetry_space_group_name_H-M 'P 3 m 1'
_symmetry_Int_Tables_number 156
_symmetry_space_group_name_Hall 'P 3 -2"'
_cell_length_a 4.5566
_cell_length_b 4.5566
_cell_length_c 16.7351
_cell_angle_alpha 90.00
_cell_angle_beta 90.00
_cell_angle_gamma 120.00
loop_
_atom_site_label
_atom_site_fract_x
_atom_site_fract_y
_atom_site_fract_z
Bi1 0.0000 0.0000 0.0000
Bi2 0.3333 0.6667 0.4428
Bi3 0.6667 0.3333 0.2197
Te1 0.0000 0.0000 0.3210
Te2 0.0000 0.0000 0.6759
Te3 0.3333 0.6667 0.1122
Te4 0.6667 0.3333 0.5363
Te5 0.6667 0.3333 0.9034
Pb1 0.3333 0.6667 0.7695
```

(7)
Computed, not measured: a relaxed structure of Ti2BiPb at the GGA-PBEsol level of DFT.

Values from the calculation:
Raw total energy = -6.14 eV/atom
M_tot = 0.00 μB per atom
ΔE_f = 0.097 eV/atom

CIF file:
```
data_Ti2BiPb
_chemical_formula_sum 'Ti8 Bi4 Pb4'
_symmetry_space_group_name_H-M 'F m -3 m'
_symmetry_Int_Tables_number 225
_symmetry_space_group_name_Hall '-F 4 2 3'
_cell_length_a 6.912
_cell_length_b 6.912
_cell_length_c 6.912
_cell_angle_alpha 90.00
_cell_angle_beta 90.00
_cell_angle_gamma 90.00
loop_
_atom_site_label
_atom_site_fract_x
_atom_site_fract_y
_atom_site_fract_z
Ti1 0.250 0.250 0.250
Bi1 0.000 0.000 0.000
Pb1 0.000 0.000 0.500
```

(8)
Computed, not measured: a relaxed structure of ZrBi2PbW at the GGA-PBEsol level of DFT.

Values from the calculation:
Raw total energy = -5.91 eV/atom
M_tot = 0.44 μB per atom
ΔE_f = 1.183 eV/atom

CIF file:
```
data_ZrBi2PbW
_chemical_formula_sum 'Zr1 Bi2 Pb1 W1'
_symmetry_space_group_name_H-M 'P 4/m m m'
_symmetry_Int_Tables_number 123
_symmetry_space_group_name_Hall '-P 4 2'
_cell_length_a 5.328
_cell_length_b 5.328
_cell_length_c 5.285
_cell_angle_alpha 90.00
_cell_angle_beta 90.00
_cell_angle_gamma 90.00
loop_
_atom_site_label
_atom_site_fract_x
_atom_site_fract_y
_atom_site_fract_z
Zr1 0.000 0.000 0.000
Bi1 0.000 0.500 0.500
Pb1 0.500 0.500 0.000
W1 0.500 0.500 0.500
```

(9)
Computed, not measured: a relaxed structure of YBi3Pb at the GGA-PBEsol level of DFT.

Values from the calculation:
Raw total energy = -4.13 eV/atom
M_tot = 0.00 μB per atom
ΔE_f = 0.609 eV/atom

CIF file:
```
data_YBi3Pb
_chemical_formula_sum 'Y1 Bi3 Pb1'
_symmetry_space_group_name_H-M 'P m -3 m'
_symmetry_Int_Tables_number 221
_symmetry_space_group_name_Hall '-P 4 2 3'
_cell_length_a 5.732
_cell_length_b 5.732
_cell_length_c 5.732
_cell_angle_alpha 90.00
_cell_angle_beta 90.00
_cell_angle_gamma 90.00
loop_
_atom_site_label
_atom_site_fract_x
_atom_site_fract_y
_atom_site_fract_z
Y1 0.000 0.000 0.000
Bi1 0.000 0.500 0.500
Pb1 0.500 0.500 0.500
```

(10)
Computed, not measured: a relaxed structure of YZnBiPb2 at the GGA-PBEsol level of DFT.

Values from the calculation:
Raw total energy = -3.53 eV/atom
M_tot = 0.00 μB per atom
ΔE_f = 0.611 eV/atom

CIF file:
```
data_YZnBiPb2
_chemical_formula_sum 'Y1 Zn1 Bi1 Pb2'
_symmetry_space_group_name_H-M 'P 4/m m m'
_symmetry_Int_Tables_number 123
_symmetry_space_group_name_Hall '-P 4 2'
_cell_length_a 5.893
_cell_length_b 5.893
_cell_length_c 5.028
_cell_angle_alpha 90.00
_cell_angle_beta 90.00
_cell_angle_gamma 90.00
loop_
_atom_site_label
_atom_site_fract_x
_atom_site_fract_y
_atom_site_fract_z
Y1 0.000 0.000 0.000
Zn1 0.500 0.500 0.000
Bi1 0.500 0.500 0.500
Pb1 0.000 0.500 0.500
```

What did the tenth record say?
Computed, not measured: a relaxed structure of YZnBiPb2 at the GGA-PBEsol level of DFT.

Values from the calculation:
Raw total energy = -3.53 eV/atom
M_tot = 0.00 μB per atom
ΔE_f = 0.611 eV/atom

CIF file:
```
data_YZnBiPb2
_chemical_formula_sum 'Y1 Zn1 Bi1 Pb2'
_symmetry_space_group_name_H-M 'P 4/m m m'
_symmetry_Int_Tables_number 123
_symmetry_space_group_name_Hall '-P 4 2'
_cell_length_a 5.893
_cell_length_b 5.893
_cell_length_c 5.028
_cell_angle_alpha 90.00
_cell_angle_beta 90.00
_cell_angle_gamma 90.00
loop_
_atom_site_label
_atom_site_fract_x
_atom_site_fract_y
_atom_site_fract_z
Y1 0.000 0.000 0.000
Zn1 0.500 0.500 0.000
Bi1 0.500 0.500 0.500
Pb1 0.000 0.500 0.500
```

- What is the M_tot in the first record?
  0.00 μB per atom